{"formula": "Ho2TcH", "functional": "PBE", "state": "relaxed", "polymorph_energy_mev_per_atom": 0, "space_group": "R-3m", "lattice_angstrom": [[-1.4371, -1.0683, 2.9633], [1.9243, -0.2439, 2.8679], [-1.4217, 6.2094, 3.5719]], "species": ["H", "Ho", "Ho", "Tc"], "fractional_positions": [[0.5000, 0.5000, 0.5000], [0.7614, 0.7614, 0.7157], [0.2386, 0.2386, 0.2843], [0.0000, 0.0000, 0.0000]]}

{"formula": "ReTeF", "functional": "PBE", "state": "relaxed", "polymorph_energy_mev_per_atom": 0, "space_group": "P3m1", "lattice_angstrom": [[3.2114, 0.0000, 0.0000], [-1.6057, 2.7812, 0.0000], [0.0000, 0.0000, 6.6021]], "species": ["Re", "Te", "F"], "fractional_positions": [[0.0000, 0.0000, 0.2098], [0.3333, 0.6667, 0.9221], [0.0000, 0.0000, 0.5027]]}

{"formula": "MnAl2Cu4", "functional": "PBE", "state": "relaxed", "space_group": "I4/mmm", "formation_enthalpy_0k_mev_per_atom": -42, "lattice_angstrom": [[-3.3840, 1.8869, 3.5073], [3.2295, -3.9828, 1.0101], [4.3428, 2.5356, -1.4225]], "species": ["Mn", "Al", "Al", "Cu", "Cu", "Cu", "Cu"], "fractional_positions": [[0.0000, 0.0000, 0.0000], [0.5000, 0.5000, 0.0000], [0.5000, 0.0000, 0.5000], [0.5000, 0.0000, 0.0000], [0.5000, 0.5000, 0.5000], [0.0000, 0.0000, 0.5000], [0.0000, 0.5000, 0.0000]]}

{"formula": "Ni4Pt5W", "functional": "PBE", "state": "relaxed", "polymorph_energy_mev_per_atom": 175, "space_group": "C2/m", "formation_enthalpy_0k_mev_per_atom": 35, "lattice_angstrom": [[3.6568, 0.0000, -1.0138], [-0.8919, 5.6632, -3.2172], [-0.0392, 0.1366, 6.9605]], "species": ["Ni", "Ni", "Ni", "Ni", "Pt", "Pt", "Pt", "Pt", "Pt", "W"], "fractional_positions": [[0.3256, 0.5822, 0.6513], [0.9737, 0.7281, 0.9473], [0.6744, 0.4178, 0.3487], [0.0263, 0.2719, 0.0527], [0.8321, 0.2923, 0.6642], [0.8364, 0.8906, 0.6727], [0.1636, 0.1094, 0.3273], [0.5000, 0.5000, 0.0000], [0.1679, 0.7077, 0.3358], [0.5000, 0.0000, 0.0000]]}

{"formula": "Tl3HgRh", "functional": "PBE", "state": "relaxed", "polymorph_energy_mev_per_atom": 149, "space_group": "P6_3/mmc", "formation_enthalpy_0k_mev_per_atom": 127, "lattice_angstrom": [[4.4563, -2.5729, 0.0000], [0.0000, 5.1457, 0.0000], [0.0000, 0.0000, 11.0312]], "species": ["Tl", "Tl", "Tl", "Tl", "Tl", "Tl", "Rh", "Rh", "Hg", "Hg"], "fractional_positions": [[0.0000, 0.0000, 0.2500], [0.0000, 0.0000, 0.7500], [0.3333, 0.6667, 0.0572], [0.3333, 0.6667, 0.4428], [0.6667, 0.3333, 0.5572], [0.6667, 0.3333, 0.9428], [0.0000, 0.0000, 0.0000], [0.0000, 0.0000, 0.5000], [0.3333, 0.6667, 0.7500], [0.6667, 0.3333, 0.2500]]}

{"formula": "LaDy4Y4", "functional": "PBE", "state": "relaxed", "polymorph_energy_mev_per_atom": 0, "space_group": "I4/mmm", "formation_enthalpy_0k_mev_per_atom": 26, "lattice_angstrom": [[5.0621, 0.0000, 0.0000], [2.5310, 7.5961, 0.0000], [2.5310, 0.0000, 7.5961]], "species": ["La", "Dy", "Dy", "Dy", "Dy", "Y", "Y", "Y", "Y"], "fractional_positions": [[0.0000, 0.0000, 0.0000], [0.6640, 0.3359, 0.3360], [0.3360, 0.6641, 0.6640], [0.0001, 0.6640, 0.3359], [0.9999, 0.3360, 0.6641], [0.6683, 0.6633, 0.0001], [0.3317, 0.3367, 0.9999], [0.6684, 0.9999, 0.6633], [0.3316, 0.0001, 0.3367]]}

{"formula": "NbGeSbI2", "functional": "PBE", "state": "relaxed", "polymorph_energy_mev_per_atom": 0, "space_group": "P4/mmm", "lattice_angstrom": [[5.4889, 0.0000, 0.0000], [0.0000, 5.4889, 0.0000], [0.0000, 0.0000, 5.5689]], "species": ["I", "I", "Sb", "Nb", "Ge"], "fractional_positions": [[0.0000, 0.5000, 0.0000], [0.5000, 0.0000, 0.0000], [0.0000, 0.0000, 0.5000], [0.0000, 0.0000, 0.0000], [0.5000, 0.5000, 0.5000]]}

{"formula": "Nd5Nb3Se12", "functional": "PBE", "state": "relaxed", "energy_ev_per_cell": -454.06, "space_group": "Ia-3d", "lattice_angstrom": [[-5.2249, -13.2650, 2.3062], [13.8254, -0.9127, -4.0748], [-0.9328, 7.7241, 12.1674]], "species": ["Nb", "Nb", "Nb", "Nb", "Nb", "Nb", "Nb", "Nb", "Nb", "Nb", "Nb", "Nb", "Nd", "Nd", "Nd", "Nd", "Nd", "Nd", "Nd", "Nd", "Nd", "Nd", "Nd", "Nd", "Nd", "Nd", "Nd", "Nd", "Nd", "Nd", "Nd", "Nd", "Se", "Se", "Se", "Se", "Se", "Se", "Se", "Se", "Se", "Se", "Se", "Se", "Se", "Se", "Se", "Se", "Se", "Se", "Se", "Se", "Se", "Se", "Se", "Se", "Se", "Se", "Se", "Se", "Se", "Se", "Se", "Se", "Se", "Se", "Se", "Se", "Se", "Se", "Se", "Se", "Se", "Se", "Se", "Se", "Se", "Se", "Se", "Se"], "fractional_positions": [[0.7500, 0.3750, 0.1250], [0.8750, 0.7500, 0.1250], [0.3750, 0.7500, 0.6250], [0.2500, 0.1250, 0.3750], [0.8750, 0.1250, 0.2500], [0.3750, 0.6250, 0.2500], [0.6250, 0.3750, 0.7500], [0.1250, 0.8750, 0.7500], [0.7500, 0.8750, 0.6250], [0.6250, 0.2500, 0.3750], [0.1250, 0.2500, 0.8750], [0.2500, 0.6250, 0.8750], [0.1250, 0.3750, 0.2500], [0.0000, 0.5000, 0.0000], [0.0000, 0.0000, 0.0000], [0.3750, 0.2500, 0.1250], [0.5000, 0.0000, 0.5000], [0.5000, 0.5000, 0.0000], [0.1250, 0.7500, 0.3750], [0.7500, 0.1250, 0.8750], [0.7500, 0.6250, 0.3750], [0.3750, 0.1250, 0.7500], [0.6250, 0.8750, 0.2500], [0.5000, 0.5000, 0.5000], [0.5000, 0.0000, 0.0000], [0.0000, 0.0000, 0.5000], [0.2500, 0.3750, 0.6250], [0.2500, 0.8750, 0.1250], [0.0000, 0.5000, 0.5000], [0.8750, 0.2500, 0.6250], [0.6250, 0.7500, 0.8750], [0.8750, 0.6250, 0.7500], [0.7376, 0.1297, 0.0632], [0.3256, 0.5632, 0.4335], [0.9368, 0.3703, 0.2624], [0.5632, 0.2376, 0.1297], [0.6079, 0.7376, 0.6744], [0.9368, 0.5665, 0.1744], [0.3256, 0.7624, 0.3921], [0.0665, 0.8921, 0.1297], [0.5665, 0.9368, 0.6744], [0.7376, 0.6079, 0.1744], [0.7624, 0.4368, 0.3703], [0.8256, 0.9335, 0.0632], [0.1297, 0.7376, 0.5632], [0.3703, 0.4335, 0.1079], [0.1079, 0.9335, 0.3703], [0.3921, 0.1297, 0.5665], [0.1079, 0.1744, 0.2376], [0.4368, 0.6744, 0.0665], [0.8256, 0.8921, 0.2624], [0.1297, 0.3921, 0.0665], [0.3703, 0.9368, 0.7624], [0.5665, 0.6297, 0.3921], [0.9335, 0.8256, 0.5632], [0.7624, 0.3256, 0.8921], [0.4335, 0.3703, 0.6079], [0.0665, 0.1744, 0.4368], [0.2376, 0.6744, 0.1079], [0.1744, 0.1079, 0.7376], [0.6297, 0.0632, 0.2376], [0.8703, 0.6079, 0.9335], [0.5632, 0.3256, 0.9335], [0.6079, 0.8703, 0.4335], [0.8921, 0.8256, 0.7624], [0.8921, 0.0665, 0.6297], [0.8703, 0.2624, 0.4368], [0.1744, 0.0665, 0.9368], [0.6297, 0.5665, 0.8921], [0.4335, 0.0632, 0.3256], [0.2624, 0.3921, 0.8256], [0.2376, 0.5632, 0.6297], [0.9335, 0.1079, 0.8703], [0.6744, 0.2376, 0.6079], [0.4368, 0.7624, 0.8703], [0.0632, 0.4335, 0.8256], [0.3921, 0.2624, 0.3256], [0.0632, 0.6297, 0.7376], [0.6744, 0.4368, 0.5665], [0.2624, 0.8703, 0.9368]]}

{"formula": "Ga3BiAs", "functional": "PBE", "state": "relaxed", "polymorph_energy_mev_per_atom": 558, "space_group": "Pm-3m", "formation_enthalpy_0k_mev_per_atom": 803, "lattice_angstrom": [[-3.4701, -0.9833, 4.1103], [-3.9056, -1.2859, -3.6049], [1.6148, -5.2233, 0.1137]], "species": ["As", "Bi", "Ga", "Ga", "Ga"], "fractional_positions": [[0.5000, 0.5000, 0.5000], [0.0000, 0.0000, 0.0000], [0.0000, 0.5000, 0.0000], [0.0000, 0.0000, 0.5000], [0.5000, 0.0000, 0.0000]]}

{"formula": "Be2OsF", "functional": "PBE", "state": "relaxed", "polymorph_energy_mev_per_atom": 712, "space_group": "Fm-3m", "lattice_angstrom": [[1.7490, -3.3706, -1.2276], [0.7972, -2.9031, 2.6199], [-2.0793, -3.4049, -0.1007]], "species": ["Be", "Be", "Os", "F"], "fractional_positions": [[0.2500, 0.2500, 0.2500], [0.7500, 0.7500, 0.7500], [0.5000, 0.5000, 0.5000], [0.0000, 0.0000, 0.0000]]}

{"formula": "KMn2CuCl6", "functional": "PBE", "state": "relaxed", "energy_ev_per_cell": -91.46, "space_group": "C2/c", "lattice_angstrom": [[-5.4239, -4.5177, -2.4506], [4.3444, -7.1041, -4.2572], [-1.9842, -5.6936, 7.1493]], "species": ["K", "K", "Mn", "Mn", "Mn", "Mn", "Cu", "Cu", "Cl", "Cl", "Cl", "Cl", "Cl", "Cl", "Cl", "Cl", "Cl", "Cl", "Cl", "Cl"], "fractional_positions": [[0.2500, 0.8825, 0.1175], [0.7500, 0.1175, 0.8825], [0.3193, 0.7646, 0.6097], [0.1807, 0.3903, 0.2354], [0.6807, 0.2354, 0.3903], [0.8193, 0.6097, 0.7646], [0.2500, 0.2140, 0.7860], [0.7500, 0.7860, 0.2140], [0.1916, 0.9628, 0.7931], [0.3084, 0.2069, 0.0372], [0.8084, 0.0372, 0.2069], [0.6916, 0.7931, 0.9628], [0.4530, 0.8438, 0.3749], [0.0470, 0.6251, 0.1562], [0.5470, 0.1562, 0.6251], [0.9530, 0.3749, 0.8438], [0.0426, 0.6971, 0.5759], [0.4574, 0.4241, 0.3029], [0.9574, 0.3029, 0.4241], [0.5426, 0.5759, 0.6971]]}

{"formula": "ScFe2PH", "functional": "PBE", "state": "relaxed", "energy_ev_per_cell": -70.44, "space_group": "Cmcm", "lattice_angstrom": [[3.2783, 0.0000, 0.0000], [-1.6392, 4.9741, 0.0000], [0.0000, 0.0000, 6.8560]], "species": ["Sc", "Sc", "Fe", "Fe", "Fe", "Fe", "P", "P", "H", "H"], "fractional_positions": [[0.4549, 0.9099, 0.7500], [0.5451, 0.0901, 0.2500], [0.1604, 0.3209, 0.9452], [0.8396, 0.6791, 0.0548], [0.1604, 0.3209, 0.5548], [0.8396, 0.6791, 0.4452], [0.7361, 0.4723, 0.7500], [0.2639, 0.5277, 0.2500], [0.0000, 0.0000, 0.0000], [0.0000, 0.0000, 0.5000]]}